# Rb2MnIrI6 PBE-GGA relaxed
data_Rb2MnIrI6
_chemical_formula_sum 'Rb8 Mn4 Ir4 I24'
_symmetry_space_group_name_H-M 'F m -3 m'
_symmetry_Int_Tables_number 225
_symmetry_space_group_name_Hall '-F 4 2 3'
_cell_length_a 11.371
_cell_length_b 11.371
_cell_length_c 11.371
_cell_angle_alpha 90.00
_cell_angle_beta 90.00
_cell_angle_gamma 90.00
loop_
_atom_site_label
_atom_site_type_symbol
_atom_site_fract_x
_atom_site_fract_y
_atom_site_fract_z
Rb1 Rb 0.250 0.250 0.250
Mn1 Mn 0.000 0.000 0.000
Ir1 Ir 0.000 0.000 0.500
I1 I 0.000 0.000 0.257
# energy relative to the elements, uncorrected	-554	meV/atom
# size of the total moment	4.802	μB per formula unit
# final energy	-3.480	eV/atom


# MnTe2IrI PBE-GGA relaxed
data_MnTe2IrI
_chemical_formula_sum 'Mn1 Te2 Ir1 I1'
_symmetry_space_group_name_H-M 'P 4/m m m'
_symmetry_Int_Tables_number 123
_symmetry_space_group_name_Hall '-P 4 2'
_cell_length_a 5.213
_cell_length_b 5.213
_cell_length_c 5.450
_cell_angle_alpha 90.00
_cell_angle_beta 90.00
_cell_angle_gamma 90.00
loop_
_atom_site_label
_atom_site_type_symbol
_atom_site_fract_x
_atom_site_fract_y
_atom_site_fract_z
Mn1 Mn 0.000 0.000 0.000
Te1 Te 0.000 0.500 0.500
Ir1 Ir 0.500 0.500 0.500
I1 I 0.500 0.500 0.000
# excess energy over the best structure of this formula in the dataset	92	meV per atom
# energy relative to the elements, uncorrected	1302	meV/atom
# size of the total moment	0.456	μB per formula unit
# final energy	-3.871	eV/atom